No. 1
# Ce4PrSm3S8 | Alexandria via LeMat-Bulk | PBE-GGA | relaxed
# Theoretical density in g cm⁻³: 6.32
# DFT total energy in eV/atom: -6.769
# Total magnetization in μB/atom: 0.1850
# E_form (uncorrected) in eV per atom: -2.038
data_Ce4PrSm3S8
_space_group_name_H-M_alt 'R -3 m'
_space_group_IT_number 166
_space_group_name_Hall '-R 3 2"'
_cell_length_a 8.0577
_cell_length_b 8.0577
_cell_length_c 19.7596
_cell_angle_alpha 90.00
_cell_angle_beta 90.00
_cell_angle_gamma 120.00
loop_
_atom_site_label
_atom_site_fract_x
_atom_site_fract_y
_atom_site_fract_z
_atom_site_occupancy
Ce1 0.0000 0.0000 0.0000 1
Ce2 0.0000 0.5000 0.0000 1
Pr1 0.0000 0.0000 0.5000 1
Sm1 0.0000 0.5000 0.5000 1
S1 0.0000 0.0000 0.2493 1
S2 0.0039 0.5019 0.7498 1

No. 2
# BaPu2Se3 | Alexandria via LeMat-Bulk | PBE-GGA | relaxed
# Theoretical density in g cm⁻³: 7.97
# DFT total energy in eV/atom: -8.317
# Total magnetization in μB/atom: 1.9998
# E_form (uncorrected) in eV per atom: -1.477
data_BaPu2Se3
_space_group_name_H-M_alt 'P m c 21'
_space_group_IT_number 26
_space_group_name_Hall 'P 2c -2'
_cell_length_a 4.106
_cell_length_b 11.495
_cell_length_c 7.614
_cell_angle_alpha 90.00
_cell_angle_beta 90.00
_cell_angle_gamma 90.00
loop_
_atom_site_label
_atom_site_fract_x
_atom_site_fract_y
_atom_site_fract_z
_atom_site_occupancy
Ba1 0.000 0.134 0.000 1
Pu1 0.000 0.229 0.506 1
Pu2 0.500 0.497 0.517 1
Se1 0.000 0.401 0.779 1
Se2 0.500 0.076 0.662 1
Se3 0.500 0.296 0.248 1

No. 3
# Ca4SmPa3N8 | Alexandria via LeMat-Bulk | PBE-GGA | relaxed
# Theoretical density in g cm⁻³: 7.39
# DFT total energy in eV/atom: -8.193
# Total magnetization in μB/atom: 0.0000
# E_form (uncorrected) in eV per atom: -1.455
data_Ca4SmPa3N8
_space_group_name_H-M_alt 'R -3 m'
_space_group_IT_number 166
_space_group_name_Hall '-R 3 2"'
_cell_length_a 7.1221
_cell_length_b 7.1221
_cell_length_c 17.1256
_cell_angle_alpha 90.00
_cell_angle_beta 90.00
_cell_angle_gamma 120.00
loop_
_atom_site_label
_atom_site_fract_x
_atom_site_fract_y
_atom_site_fract_z
_atom_site_occupancy
Ca1 0.0000 0.0000 0.0000 1
Ca2 0.0000 0.5000 0.0000 1
Sm1 0.0000 0.0000 0.5000 1
Pa1 0.0000 0.5000 0.5000 1
N1 0.0000 0.0000 0.2388 1
N2 0.0189 0.5095 0.7614 1

No. 4
# Pm4Si2Bi | Alexandria via LeMat-Bulk | PBE-GGA | relaxed
# Theoretical density in g cm⁻³: 6.28
# DFT total energy in eV/atom: -5.394
# Total magnetization in μB/atom: 0.0001
# E_form (uncorrected) in eV per atom: -0.575
data_Pm4Si2Bi
_space_group_name_H-M_alt 'I 41/a m d'
_space_group_IT_number 141
_cell_length_a 9.636
_cell_length_b 9.636
_cell_length_c 9.635
_cell_angle_alpha 90.00
_cell_angle_beta 90.00
_cell_angle_gamma 90.00
loop_
_space_group_symop_operation_xyz
'x,y,z'
'-x,-y,-z'
'-y+1/4,x+3/4,z+1/4'
'y+1/4,-x+3/4,-z+1/4'
'-x+1/2,-y,z+1/2'
'x+1/2,y,-z+1/2'
'y+1/4,-x+1/4,z+3/4'
'-y+1/4,x+1/4,-z+3/4'
'x,-y,-z'
'-x,y,z'
'-y+1/4,-x+1/4,-z+3/4'
'y+1/4,x+1/4,z+3/4'
'-x+1/2,y,-z+1/2'
'x+1/2,-y,z+1/2'
'y+1/4,x+3/4,-z+1/4'
'-y+1/4,-x+3/4,z+1/4'
'x+1/2,y+1/2,z+1/2'
'-x+1/2,-y+1/2,-z+1/2'
'-y+3/4,x+1/4,z+3/4'
'y+3/4,-x+1/4,-z+3/4'
'-x,-y+1/2,z'
'x,y+1/2,-z'
'y+3/4,-x+3/4,z+1/4'
'-y+3/4,x+3/4,-z+1/4'
'x+1/2,-y+1/2,-z+1/2'
'-x+1/2,y+1/2,z+1/2'
'-y+3/4,-x+3/4,-z+1/4'
'y+3/4,x+3/4,z+1/4'
'-x,y+1/2,-z'
'x,-y+1/2,z'
'y+3/4,x+1/4,-z+3/4'
'-y+3/4,-x+1/4,z+3/4'
loop_
_atom_site_label
_atom_site_fract_x
_atom_site_fract_y
_atom_site_fract_z
_atom_site_occupancy
Pm1 0.000 0.071 0.210 1
Si1 0.000 0.000 0.500 1
Bi1 0.000 0.250 0.875 1

No. 5
# TlCoAg | Alexandria via LeMat-Bulk | PBE-GGA | relaxed
# Theoretical density in g cm⁻³: 10.35
# DFT total energy in eV/atom: -3.530
# Total magnetization in μB/atom: 0.3390
# ΔE to the lowest computed polymorph in meV per atom: 18.9
# Formation energy from the elements in meV/atom: 578
data_TlCoAg
_space_group_name_H-M_alt 'F -4 3 m'
_space_group_IT_number 216
_space_group_name_Hall 'F -4 2 3'
_cell_length_a 6.199
_cell_length_b 6.199
_cell_length_c 6.199
_cell_angle_alpha 90.00
_cell_angle_beta 90.00
_cell_angle_gamma 90.00
loop_
_atom_site_label
_atom_site_fract_x
_atom_site_fract_y
_atom_site_fract_z
_atom_site_occupancy
Tl1 0.000 0.000 0.000 1
Co1 0.250 0.250 0.250 1
Ag1 0.000 0.000 0.500 1

No. 6
# Ce12ZnGe6 | Alexandria via LeMat-Bulk | PBE-GGA | relaxed
# Theoretical density in g cm⁻³: 7.04
# DFT total energy in eV/atom: -5.547
# Total magnetization in μB/atom: 0.4006
# Formation energy from the elements in meV/atom: -275
data_Ce12ZnGe6
_space_group_name_H-M_alt 'R -3 m'
_space_group_IT_number 166
_space_group_name_Hall '-R 3 2"'
_cell_length_a 13.1249
_cell_length_b 13.1249
_cell_length_c 10.3499
_cell_angle_alpha 90.00
_cell_angle_beta 90.00
_cell_angle_gamma 120.00
loop_
_atom_site_label
_atom_site_fract_x
_atom_site_fract_y
_atom_site_fract_z
_atom_site_occupancy
Ce1 0.0000 0.3956 0.0000 1
Ce2 0.0850 0.1699 0.8240 1
Zn1 0.0000 0.0000 0.5000 1
Ge1 0.0380 0.5190 0.7448 1